Model a:
Here is TbY3Bi2 after structural relaxation from Alexandria. Energies are from PBE.

For the total magnetization, the calculation gives 0.0 μB per cell. The theoretical density comes out at 6.92 Mg/m³. The crystal system is monoclinic. For the density of states at the Fermi level, the calculation gives 25.5 states/eV/cell.

The space group is C2/m (No. 12) and the conventional cell measures 17.116, 4.381 and 12.272 Å, with angles of 90.00, 118.40 and 90.00 degrees. Symmetry generates all atoms from Tb at (0.084, 0.000, 0.174), Y at (0.058, 0.500, 0.721), Y at (0.117, 0.000, 0.523), Y at (0.241, 0.500, 0.143), Bi at (0.120, 0.000, 0.946) and Bi at (0.160, 0.500, 0.366).

Model b:
Here is TbY3Bi2 after structural relaxation from Alexandria. Energies are from PBE.

For the total magnetization, the calculation gives 0.0 μB per cell. The theoretical density comes out at 7.78 Mg/m³. The crystal system is tetragonal. For the density of states at the Fermi level, the calculation gives 4.9 states/eV/cell.

The space group is P-4m2 (No. 115) and the conventional cell measures 4.567, 4.567 and 8.635 Å, with angles of 90.00, 90.00 and 90.00 degrees. Symmetry generates all atoms from Tb at (0.000, 0.000, 0.000), Y at (0.000, 0.500, 0.347), Y at (0.500, 0.500, 0.000) and Bi at (0.000, 0.500, 0.717).

Relative energies, kJ/mol of atoms: model a 22.6; model b 0.0.

Model a:
Here is TbY2Bi after structural relaxation from Alexandria. Energies are from PBE.

For the total magnetization, the calculation gives 0.0 μB per cell. The theoretical density comes out at 7.79 Mg/m³. The crystal system is tetragonal. For the density of states at the Fermi level, the calculation gives 6.0 states/eV/cell.

The space group is P4/mmm (No. 123) and the conventional cell measures 4.911, 4.911 and 4.822 Å, with angles of 90.00, 90.00 and 90.00 degrees. Symmetry generates all atoms from Tb at (0.000, 0.000, 0.000), Y at (0.000, 0.500, 0.500) and Bi at (0.500, 0.500, 0.000).

Model b:
Here is TbY2Bi after structural relaxation from Alexandria. Energies are from PBE.

For the total magnetization, the calculation gives 0.0 μB per cell. The theoretical density comes out at 7.45 Mg/m³. The crystal system is tetragonal. For the density of states at the Fermi level, the calculation gives 5.9 states/eV/cell.

The space group is P4/mmm (No. 123) and the conventional cell measures 4.075, 4.075 and 7.321 Å, with angles of 90.00, 90.00 and 90.00 degrees. Symmetry generates all atoms from Tb at (0.000, 0.000, 0.000), Y at (0.500, 0.500, 0.270) and Bi at (0.000, 0.000, 0.500).

Relative energies, kJ/mol of atoms: model a 1.3; model b 0.0.

Model a:
Here is TbY2Bi after structural relaxation from Alexandria. Energies are from PBE.

For the total magnetization, the calculation gives 2.1 μB per cell. The theoretical density comes out at 6.67 Mg/m³. The crystal system is trigonal. For the density of states at the Fermi level, the calculation gives 15.0 states/eV/cell.

The space group is R3m (No. 160, hexagonal axes) and the conventional cell measures 4.0550, 4.0550 and 28.6057 Å, with angles of 90.00, 90.00 and 120.00 degrees. Symmetry generates all atoms from Tb at (0.0000, 0.0000, 0.0000), Y at (0.0000, 0.0000, 0.2371), Y at (0.0000, 0.0000, 0.4304) and Bi at (0.0000, 0.0000, 0.8342).

Model b:
Here is TbY2Bi after structural relaxation from Alexandria. Energies are from PBE.

For the total magnetization, the calculation gives 0.0 μB per cell. The theoretical density comes out at 6.85 Mg/m³. The crystal system is trigonal. For the density of states at the Fermi level, the calculation gives 12.9 states/eV/cell.

The space group is R-3m (No. 166, hexagonal axes) and the conventional cell measures 3.5631, 3.5631 and 36.0943 Å, with angles of 90.00, 90.00 and 120.00 degrees. Symmetry generates all atoms from Tb at (0.0000, 0.0000, 0.0000), Y at (0.0000, 0.0000, 0.4127) and Bi at (0.0000, 0.0000, 0.5000).

Model c:
Here is TbY2Bi after structural relaxation from Alexandria. Energies are from PBE.

For the total magnetization, the calculation gives 0.5 μB per cell. The theoretical density comes out at 7.19 Mg/m³. The crystal system is orthorhombic. For the density of states at the Fermi level, the calculation gives 26.5 states/eV/cell.

The space group is Cmcm (No. 63) and the conventional cell measures 4.162, 12.505 and 9.681 Å, with angles of 90.00, 90.00 and 90.00 degrees. Symmetry generates all atoms from Tb at (0.000, 0.057, 0.250), Y at (0.000, 0.367, 0.045) and Bi at (0.000, 0.242, 0.750).

Relative energies, kJ/mol of atoms: model a 22.1; model b 42.2; model c 0.0.

Model a:
Here is Tb3YBi4 after structural relaxation from Alexandria. Energies are from PBE.

For the total magnetization, the calculation gives 0.0 μB per cell. The theoretical density comes out at 9.10 Mg/m³. The crystal system is cubic. For the density of states at the Fermi level, the calculation gives 0.5 states/eV/cell.

The space group is Pm-3m (No. 221) and the conventional cell measures 6.347, 6.347 and 6.347 Å, with angles of 90.00, 90.00 and 90.00 degrees. Symmetry generates all atoms from Tb at (0.000, 0.000, 0.500), Y at (0.500, 0.500, 0.500), Bi at (0.000, 0.000, 0.000) and Bi at (0.000, 0.500, 0.500).

Model b:
Here is Tb3YBi4 after structural relaxation from Alexandria. Energies are from PBE.

For the total magnetization, the calculation gives 0.0 μB per cell. The theoretical density comes out at 9.08 Mg/m³. The crystal system is orthorhombic. For the density of states at the Fermi level, the calculation gives 2.5 states/eV/cell.

The space group is Cmmm (No. 65) and the conventional cell measures 8.981, 12.701 and 4.493 Å, with angles of 90.00, 90.00 and 90.00 degrees. Symmetry generates all atoms from Tb at (0.000, 0.000, 0.000), Tb at (0.250, 0.250, 0.500), Y at (0.000, 0.500, 0.000), Bi at (0.000, 0.250, 0.000) and Bi at (0.250, 0.000, 0.500).

Relative energies, kJ/mol of atoms: model a 0.0; model b 0.6.